# CsLiAs3 | the Alexandria database | PBE-GGA | relaxed
data_CsLiAs3
_chemical_formula_sum 'Cs1 Li1 As3'
_cell_length_a 5.008
_cell_length_b 5.008
_cell_length_c 5.008
_cell_angle_alpha 90.00
_cell_angle_beta 90.00
_cell_angle_gamma 90.00
_symmetry_space_group_name_H-M 'P 1'
_symmetry_Int_Tables_number 1
loop_
_symmetry_equiv_pos_as_xyz
'x,y,z'
loop_
_atom_site_label
_atom_site_type_symbol
_atom_site_fract_x
_atom_site_fract_y
_atom_site_fract_z
_atom_site_occupancy
As1 As 0.000 0.000 0.500 1
As2 As 0.000 0.500 0.000 1
As3 As 0.500 0.000 0.000 1
Li1 Li 0.000 0.000 0.000 1
Cs1 Cs 0.500 0.500 0.500 1
# ΔE_f: 6.04 kcal/mol of atoms
# space group: Pm-3m, No. 221
# E above lowest polymorph: 0.0 meV per atom